Mg2Hg | GGA-PBE | relaxed

a = 4.9370 Å, b = 4.9370 Å, c = 6.0861 Å
α = 90.00°, β = 90.00°, γ = 120.00°
With the nearest neighbours (Å) after each atom.
Atoms (fractional coordinates):
Mg1 0.6667 0.3333 0.2500  5 Hg 2.85-3.04
Hg1 0.6667 0.3333 0.7500  5 Mg 2.85-3.04
Hg2 0.3333 0.6667 0.2500  5 Mg 2.85-3.04
Mg2 0.3333 0.6667 0.7500  5 Hg 2.85-3.04
Mg3 0.0000 0.0000 0.5000  8 Mg 3.04-3.23, 6 Hg 3.23
Mg4 0.0000 0.0000 0.0000  8 Mg 3.04-3.23, 6 Hg 3.23

Computed properties:
SG: No. 194
Uncorrected energy: -8.16 eV per cell
Volume: 128 Å³/cell

***

MgHg | GGA-PBE | relaxed

a = 7.9557 Å, b = 7.9557 Å, c = 5.2060 Å
α = 90.00°, β = 90.00°, γ = 120.00°
With the nearest neighbours (Å) after each atom.
Atoms (fractional coordinates):
Hg1 0.5397 0.9121 0.7500  5 Mg 2.89-2.99, 4 Hg 3.15-3.16
Hg2 0.6276 0.5397 0.2500  5 Mg 2.89-2.99, 4 Hg 3.15-3.16
Mg1 0.2065 0.2608 0.2500  5 Hg 2.89-2.99, 4 Mg 3.22
Mg2 0.0543 0.7935 0.2500  5 Hg 2.89-2.99, 4 Mg 3.22
Mg3 0.7392 0.9457 0.2500  5 Hg 2.89-2.99, 4 Mg 3.22
Mg4 0.9457 0.2065 0.7500  5 Hg 2.89-2.99, 4 Mg 3.22
Hg3 0.9121 0.3724 0.2500  5 Mg 2.89-2.99, 4 Hg 3.15-3.16
Mg5 0.7935 0.7392 0.7500  5 Hg 2.89-2.99, 4 Mg 3.22
Hg4 0.0879 0.6276 0.7500  5 Mg 2.89-2.99, 4 Hg 3.15-3.16
Mg6 0.2608 0.0543 0.7500  5 Hg 2.89-2.99, 4 Mg 3.22
Hg5 0.4603 0.0879 0.2500  5 Mg 2.89-2.99, 4 Hg 3.15-3.16
Hg6 0.3724 0.4603 0.7500  5 Mg 2.89-2.99, 4 Hg 3.15-3.16

Computed properties:
SG: No. 176
Uncorrected energy: -12.70 eV per cell
Volume: 285 Å³/cell

***

Mg2Hg | GGA-PBE | relaxed

a = 9.1469 Å, b = 9.1469 Å, c = 9.1469 Å
α = 60.00°, β = 60.00°, γ = 60.00°
With the nearest neighbours (Å) after each atom.
Atoms (fractional coordinates):
Mg1 0.9230 0.3270 0.9230  4 Hg 2.84-3.15
Mg2 0.3270 0.3270 0.9230  4 Hg 2.84-3.15
Hg1 0.2763 0.6711 0.2763  9 Mg 2.84-3.15
Mg3 0.9230 0.3270 0.3270  4 Hg 2.84-3.15
Hg2 0.6711 0.2763 0.2763  9 Mg 2.84-3.15
Mg4 0.9230 0.9230 0.3270  4 Hg 2.84-3.15
Mg5 0.0770 0.6730 0.6730  4 Hg 2.84-3.15
Mg6 0.0770 0.0770 0.6730  4 Hg 2.84-3.15
Mg7 0.6730 0.0770 0.6730  4 Hg 2.84-3.15
Mg8 0.5000 0.0000 0.5000  6 Hg 2.93, 6 Mg 3.20
Mg9 0.3270 0.9230 0.3270  4 Hg 2.84-3.15
Mg10 0.6730 0.0770 0.0770  4 Hg 2.84-3.15
Hg3 0.7237 0.3289 0.7237  9 Mg 2.84-3.15
Hg4 0.7237 0.7237 0.3289  9 Mg 2.84-3.15
Mg11 0.6730 0.6730 0.0770  4 Hg 2.84-3.15
Hg5 0.7237 0.7237 0.7237  9 Mg 2.84-3.15
Hg6 0.2763 0.2763 0.2763  9 Mg 2.84-3.15
Mg12 0.5000 0.5000 0.0000  6 Hg 2.93, 6 Mg 3.20
Hg7 0.3289 0.7237 0.7237  9 Mg 2.84-3.15
Mg13 0.0770 0.6730 0.0770  4 Hg 2.84-3.15
Mg14 0.5000 0.5000 0.5000  6 Hg 2.93, 6 Mg 3.20
Hg8 0.2763 0.2763 0.6711  9 Mg 2.84-3.15
Mg15 0.0000 0.5000 0.5000  6 Hg 2.93, 6 Mg 3.20
Mg16 0.3270 0.9230 0.9230  4 Hg 2.84-3.15

Computed properties:
SG: No. 227
Uncorrected energy: -31.60 eV per cell
Volume: 541 Å³/cell

***

Mg5Hg3 | GGA-PBE | relaxed

a = 6.1101 Å, b = 6.1101 Å, c = 4.7321 Å
α = 90.00°, β = 90.00°, γ = 102.99°
With the nearest neighbours (Å) after each atom.
Atoms (fractional coordinates):
Mg1 0.2885 0.2885 0.5000  4 Hg 2.86-2.97
Hg1 0.7903 0.2097 0.5000  10 Mg 2.97-3.21
Mg2 0.0000 0.0000 0.0000  8 Mg 3.06-3.23, 4 Hg 3.10
Hg2 0.5000 0.5000 0.0000  8 Mg 2.86-3.06
Mg3 0.7115 0.7115 0.5000  4 Hg 2.86-2.97
Mg4 0.5000 0.0000 0.0000  6 Mg 3.06-3.38, 6 Hg 3.06
Hg3 0.2097 0.7903 0.5000  10 Mg 2.97-3.21
Mg5 0.0000 0.5000 0.0000  6 Hg 3.06, 6 Mg 3.06-3.38

Computed properties:
SG: No. 65
Uncorrected energy: -10.48 eV per cell
Volume: 172 Å³/cell

***

MgHg3 | GGA-PBE | relaxed

a = 3.4740 Å, b = 3.4740 Å, c = 9.2136 Å
α = 90.00°, β = 90.00°, γ = 120.00°
With the nearest neighbours (Å) after each atom.
Atoms (fractional coordinates):
Hg1 0.0000 0.0000 0.9842  3 Mg 2.95, 3 Hg 3.17
Hg2 0.0000 0.0000 0.5158  3 Mg 2.95, 3 Hg 3.17
Mg1 0.3333 0.6667 0.7500  6 Hg 2.95
Hg3 0.3333 0.6667 0.2500  12 Hg 3.17-3.47

Computed properties:
SG: No. 187
Uncorrected energy: -2.71 eV per cell
Volume: 96 Å³/cell

***

MgHg | GGA-PBE | relaxed

a = 9.4997 Å, b = 9.4997 Å, c = 9.4997 Å
α = 20.70°, β = 20.70°, γ = 20.70°
With the nearest neighbours (Å) after each atom.
Atoms (fractional coordinates):
Hg1 0.2478 0.2478 0.2478  3 Mg 2.96, 3 Hg 3.14
Mg1 0.5021 0.5021 0.5021  3 Hg 2.96, 3 Mg 3.14
Hg2 0.0022 0.0022 0.0022  3 Mg 2.96, 3 Hg 3.14
Mg2 0.7479 0.7479 0.7479  3 Hg 2.96, 3 Mg 3.14

Computed properties:
SG: No. 166
Uncorrected energy: -3.99 eV per cell
Volume: 94 Å³/cell

***

MgHg3 | GGA-PBE | relaxed

a = 4.5231 Å, b = 4.5231 Å, c = 4.5231 Å
α = 90.00°, β = 90.00°, γ = 90.00°
With the nearest neighbours (Å) after each atom.
Atoms (fractional coordinates):
Mg1 0.5000 0.5000 0.0000  12 Hg 3.20
Hg1 0.5000 0.0000 0.5000  4 Mg 3.20, 8 Hg 3.20
Hg2 0.0000 0.0000 0.0000  8 Hg 3.20, 4 Mg 3.20
Hg3 0.0000 0.5000 0.5000  8 Hg 3.20, 4 Mg 3.20

Computed properties:
SG: No. 221
Uncorrected energy: -2.76 eV per cell
Volume: 93 Å³/cell

***

Mg2Hg | GGA-PBE | relaxed

a = 4.7293 Å, b = 6.3100 Å, c = 8.6943 Å
α = 90.00°, β = 90.00°, γ = 90.00°
With the nearest neighbours (Å) after each atom.
Atoms (fractional coordinates):
Mg1 0.7500 0.1779 0.0621  4 Hg 2.85-2.94, 1 Mg 3.17
Mg2 0.7500 0.0386 0.7114  5 Hg 2.99-3.22, 6 Mg 3.17-3.29
Mg3 0.2500 0.9614 0.2886  5 Hg 2.99-3.22, 6 Mg 3.17-3.29
Mg4 0.7500 0.6779 0.4379  4 Hg 2.85-2.94, 1 Mg 3.17
Hg1 0.2500 0.2824 0.8891  7 Mg 2.85-3.02
Hg2 0.7500 0.2176 0.3891  7 Mg 2.85-3.02
Hg3 0.2500 0.7824 0.6109  7 Mg 2.85-3.02
Hg4 0.7500 0.7176 0.1109  7 Mg 2.85-3.02
Mg5 0.7500 0.5386 0.7886  5 Hg 2.99-3.22, 6 Mg 3.17-3.29
Mg6 0.2500 0.8221 0.9379  4 Hg 2.85-2.94, 1 Mg 3.17
Mg7 0.2500 0.3221 0.5621  4 Hg 2.85-2.94, 1 Mg 3.17
Mg8 0.2500 0.4614 0.2114  5 Hg 2.99-3.22, 6 Mg 3.17-3.29

Computed properties:
SG: No. 62
Uncorrected energy: -16.42 eV per cell
Volume: 259 Å³/cell

***

Mg5Hg | GGA-PBE | relaxed

a = 7.1978 Å, b = 7.1978 Å, c = 4.3071 Å
α = 90.00°, β = 90.00°, γ = 143.63°
With the nearest neighbours (Å) after each atom.
Atoms (fractional coordinates):
Mg1 0.4723 0.5277 0.5000  4 Hg 3.11, 8 Mg 3.11-3.17
Mg2 0.3078 0.6922 0.0000  10 Mg 3.11-3.24, 2 Hg 3.18
Mg3 0.1360 0.8640 0.5000  2 Hg 3.11, 10 Mg 3.11-3.26
Hg1 0.9722 0.0278 0.0000  12 Mg 3.11-3.18
Mg4 0.8084 0.1916 0.5000  2 Hg 3.11, 10 Mg 3.11-3.26
Mg5 0.6367 0.3633 0.0000  10 Mg 3.11-3.24, 2 Hg 3.18

Computed properties:
SG: No. 65
Uncorrected energy: -8.81 eV per cell
Volume: 132 Å³/cell

***

Mg2Hg | GGA-PBE | relaxed

a = 3.3487 Å, b = 3.3487 Å, c = 25.2180 Å
α = 90.00°, β = 90.00°, γ = 90.00°
With the nearest neighbours (Å) after each atom.
Atoms (fractional coordinates):
Mg1 0.0000 0.2500 0.1974  4 Hg 2.99, 6 Mg 3.14-3.35
Hg1 0.5000 0.7500 0.1250  8 Mg 2.99, 4 Hg 3.35
Hg2 0.0000 0.7500 0.3750  8 Mg 2.99, 4 Hg 3.35
Mg2 0.5000 0.7500 0.5526  4 Hg 2.99, 6 Mg 3.14-3.35
Mg3 0.5000 0.7500 0.6974  4 Hg 2.99, 6 Mg 3.14-3.35
Mg4 0.0000 0.2500 0.0526  4 Hg 2.99, 6 Mg 3.14-3.35
Mg5 0.5000 0.2500 0.4474  4 Hg 2.99, 6 Mg 3.14-3.35
Mg6 0.0000 0.7500 0.9474  4 Hg 2.99, 6 Mg 3.14-3.35
Mg7 0.0000 0.7500 0.8026  4 Hg 2.99, 6 Mg 3.14-3.35
Mg8 0.5000 0.2500 0.3026  4 Hg 2.99, 6 Mg 3.14-3.35
Hg3 0.0000 0.2500 0.6250  8 Mg 2.99, 4 Hg 3.35
Hg4 0.5000 0.2500 0.8750  8 Mg 2.99, 4 Hg 3.35

Computed properties:
SG: No. 141
Uncorrected energy: -14.82 eV per cell
Volume: 283 Å³/cell

***

MgHg2 | GGA-PBE | relaxed

a = 4.7650 Å, b = 4.7650 Å, c = 4.7650 Å
α = 60.00°, β = 60.00°, γ = 60.00°
With the nearest neighbours (Å) after each atom.
Atoms (fractional coordinates):
Hg1 0.7500 0.7500 0.7500  4 Mg 2.92
Mg1 0.0000 0.0000 0.0000  8 Hg 2.92
Hg2 0.2500 0.2500 0.2500  4 Mg 2.92

Computed properties:
SG: No. 225
Uncorrected energy: -2.38 eV per cell
Volume: 77 Å³/cell

***

Mg3Hg2 | GGA-PBE | relaxed

a = 4.7860 Å, b = 4.7860 Å, c = 5.8500 Å
α = 90.00°, β = 90.00°, γ = 120.00°
With the nearest neighbours (Å) after each atom.
Atoms (fractional coordinates):
Mg1 0.0000 0.0000 0.0000  6 Hg 2.95
Hg1 0.3333 0.6667 0.8224  8 Mg 2.84-3.01
Hg2 0.6667 0.3333 0.1776  8 Mg 2.84-3.01
Mg2 0.6667 0.3333 0.6623  5 Hg 2.84-3.01
Mg3 0.3333 0.6667 0.3377  5 Hg 2.84-3.01

Computed properties:
SG: No. 164
Uncorrected energy: -6.27 eV per cell
Volume: 116 Å³/cell

***

MgHg | GGA-PBE | relaxed

a = 4.5401 Å, b = 4.5401 Å, c = 4.5401 Å
α = 60.00°, β = 60.00°, γ = 60.00°
With the nearest neighbours (Å) after each atom.
Atoms (fractional coordinates):
Mg1 0.2500 0.2500 0.2500  4 Hg 2.78
Hg1 0.0000 0.0000 0.0000  4 Mg 2.78

Computed properties:
SG: No. 216
Uncorrected energy: -1.51 eV per cell
Volume: 66 Å³/cell

***

| no. | spin magnetization (μB per formula unit) |
| --- | --- |
| 1 | 0.0 |
| 2 | 0.0 |
| 3 | 0.0 |
| 4 | 0.0 |
| 5 | 0.0 |
| 6 | 0.0 |
| 7 | 0.0 |
| 8 | 0.0 |
| 9 | 0.0 |
| 10 | 0.0 |
| 11 | 0.0 |
| 12 | 0.0 |
| 13 | 0.0 |